An optimized crystal structure of Sc2TeH, computed with PBE.

abc: 8.339 8.339 8.339
angles: 23.81 23.81 23.81
Element x y z (fractional)
Sc 0.882 0.882 0.882
Sc 0.118 0.118 0.118
H 0.500 0.500 0.500
Te 0.000 0.000 0.000

## Properties
Symmetry ... R-3m

An optimized crystal structure of ScTe2H, computed with PBE.

abc: 4.983 4.983 4.983
angles: 60.00 60.00 60.00
Site moments in Bohr magnetons follow the coordinates.
Element x y z (fractional)
Sc 0.500 0.500 0.500  0.04
H 0.000 0.000 0.000  0.21
Te 0.250 0.250 0.250  -0.01
Te 0.750 0.750 0.750  -0.01

## Properties
Symmetry ... Fm-3m

An optimized crystal structure of Sc2TeH2, computed with PBE.

abc: 4.170 4.286 5.378
angles: 113.53 90.00 90.00
Site moments in Bohr magnetons follow the coordinates.
Element x y z (fractional)
Sc 0.200 0.721 0.441  0.24
Sc 0.700 0.242 0.485  0.32
Te 0.200 0.016 0.034  -0.01
H 0.200 0.294 0.587  -0.01
H 0.700 0.727 0.453  0.00

## Properties
Symmetry ... Amm2

An optimized crystal structure of Sc5Te2H, computed with PBE.

abc: 3.859 8.146 12.972
angles: 90.00 90.00 103.70
Site moments in Bohr magnetons follow the coordinates.
Element x y z (fractional)
Sc 0.888 0.776 0.873  0.05
Sc 0.888 0.776 0.627  0.05
Sc 0.310 0.620 0.451  0.08
Sc 0.310 0.620 0.049  0.08
Sc 0.749 0.499 0.250  0.19
Sc 0.251 0.501 0.750  0.19
Sc 0.690 0.380 0.549  0.08
Sc 0.690 0.380 0.951  0.08
Sc 0.112 0.224 0.127  0.05
Sc 0.112 0.224 0.373  0.05
Te 0.927 0.854 0.386  0.00
Te 0.927 0.854 0.114  0.00
Te 0.073 0.146 0.614  0.00
Te 0.073 0.146 0.886  0.00
H 0.805 0.610 0.750  0.00
H 0.195 0.390 0.250  0.00

## Properties
Symmetry ... Cmcm

An optimized crystal structure of Sc2TeH, computed with PBE.

abc: 4.762 4.762 4.762
angles: 60.00 60.00 60.00
Site moments in Bohr magnetons follow the coordinates.
Element x y z (fractional)
Sc 0.250 0.250 0.250  0.33
Sc 0.750 0.750 0.750  0.33
H 0.000 0.000 0.000  0.00
Te 0.500 0.500 0.500  0.00

## Properties
Symmetry ... Fm-3m

An optimized crystal structure of ScTe2H, computed with PBE.

abc: 6.767 6.767 6.138
angles: 56.55 56.55 90.00
Element x y z (fractional)
Sc 0.000 0.000 0.000
Sc 0.750 0.250 0.500
H 0.500 0.500 0.000
H 0.250 0.750 0.500
Te 0.561 0.125 0.250
Te 0.189 0.625 0.250
Te 0.375 0.439 0.750
Te 0.875 0.811 0.750

## Properties
Symmetry ... I-42d

E readings, ordered: -0.36525, -0.29823, -0.36784, -0.40766, -0.37188, -0.30868 Ry/atom
Total magnetic moment readings, ordered: 0.002, 0.132, 0.143, 0.101, 0.250, 0.000 μB/atom